# 1
6
Lattice="3.372 -1.910 0.000 3.372 1.910 0.000 -0.811 0.000 6.257" Properties=species:S:1:pos:R:3 comment="GGA-PBE LaTmO4, optimized geometry" energy_ev_per_atom=-7.799 magnetic_moment_mub_per_atom=0.000 pbc="T T T"
O 2.278 0.000 0.763
Tm 1.484 0.000 4.814
O 3.692 0.000 5.251
O 5.671 0.000 3.666
O 0.160 0.000 2.827
La 4.517 0.000 1.451

# 2
9
Lattice="-5.552 -6.951 -1.454 3.108 -2.605 0.584 -0.871 -0.142 4.001" Properties=species:S:1:pos:R:3 comment="GGA-PBE La2Zn2O5, optimized geometry" relative_energy_kj_per_mol_atoms=61.1 energy_ev_per_atom=-5.828 magnetic_moment_mub_per_atom=0.140 pbc="T T T"
O 0.832 -2.206 0.103
O -5.266 -6.118 0.735
Zn -2.776 -3.475 -0.727
La -0.216 -3.044 1.943
Zn 0.000 0.000 0.000
O -1.657 -4.848 1.565
O -3.276 -7.350 -0.973
O -1.157 -0.974 1.811
La -3.099 -6.653 1.188

# 3
9
Lattice="7.327 0.000 0.000 0.000 3.987 0.000 0.000 0.000 3.987" Properties=species:S:1:pos:R:3 comment="GGA-PBE La2Zn2O5, optimized geometry" relative_energy_kj_per_mol_atoms=0.0 energy_ev_per_atom=-6.461 magnetic_moment_mub_per_atom=0.000 pbc="T T T"
O 5.776 0.000 1.994
Zn 5.601 1.994 1.994
La 0.000 0.000 0.000
Zn 1.727 1.994 1.994
O 1.552 1.994 0.000
O 3.664 1.994 1.994
La 3.664 0.000 0.000
O 1.552 0.000 1.994
O 5.776 1.994 0.000

# 4
5
Lattice="4.217 0.000 0.000 0.000 4.217 0.000 0.000 0.000 4.802" Properties=species:S:1:pos:R:3 comment="GGA-PBE LaZnO3, optimized geometry" energy_ev_per_atom=-5.777 magnetic_moment_mub_per_atom=0.200 pbc="T T T"
Zn 0.000 0.000 0.106
O 2.109 0.000 4.455
O 0.000 2.109 4.455
La 2.109 2.109 3.545
O 2.109 2.109 1.364

# 5
22
Lattice="5.338 5.338 0.000 -5.338 0.000 5.338 5.338 -5.338 0.000" Properties=species:S:1:pos:R:3 comment="GGA-PBE La2Zr2O7, optimized geometry" energy_ev_per_atom=-8.686 magnetic_moment_mub_per_atom=0.000 pbc="T T T"
O 6.673 -1.426 1.335
Zr 0.000 2.669 2.669
O 4.095 -4.004 1.335
La 2.669 -2.669 0.000
O 1.335 1.335 3.912
O 4.004 1.243 4.004
O -1.335 1.426 4.004
La 5.338 0.000 0.000
O 1.335 1.335 1.335
La 0.000 -2.669 2.669
O 1.335 -4.004 4.095
O 1.243 4.004 4.004
O 4.004 -1.335 1.426
O 1.426 -1.335 4.004
O 4.004 -1.335 4.004
Zr 2.669 2.669 0.000
La -2.669 0.000 2.669
O 4.004 4.004 1.243
O 1.335 -1.243 1.335
O 3.912 1.335 1.335
Zr 2.669 0.000 2.669
Zr 0.000 0.000 0.000

# 6
14
Lattice="-5.633 3.546 -0.562 5.814 3.114 1.058 -1.220 -2.878 -5.904" Properties=species:S:1:pos:R:3 comment="GGA-PBE LaZr2O4, optimized geometry" energy_ev_per_atom=-8.800 magnetic_moment_mub_per_atom=0.000 pbc="T T T"
O 3.106 1.901 -1.569
O -2.628 1.733 -2.407
Zr 2.096 3.306 -0.155
Zr 1.485 1.867 -3.107
O 0.613 3.470 -1.818
O -0.215 -1.114 -4.864
O -0.135 1.832 -4.644
La -1.623 3.497 -1.368
O -3.169 0.460 -5.020
Zr -4.238 2.083 -3.916
La 0.000 0.000 0.000
Zr -1.422 0.310 -3.636
O 0.326 0.159 -2.252
O 2.358 0.264 -4.395